Entry from the Alexandria database: a geometry-optimized Cs5SeO4F2 structure (GGA-PBE).

Values from the calculation:
As for the total energy: -51.487 eV/cell. The spin magnetization is 1.0 Bohr magnetons per cell. The calculation puts the uncorrected formation energy at -20.16 eV/f.u.

Structure (POSCAR):
```
Cs5SeO4F2
1.0
8.4923 0.0000 0.0000
0.0000 5.4779 3.5522
0.0000 -5.4779 3.5522
Cs Se O F
5 1 4 2
direct
0.0000 0.0000 0.0000
0.2637 0.3144 0.6809
0.2637 0.6809 0.3144
0.7363 0.3144 0.6809
0.7363 0.6809 0.3144
0.5000 0.0148 0.0148
0.3211 0.1609 0.1609
0.5000 0.7303 0.9906
0.5000 0.9906 0.7303
0.6789 0.1609 0.1609
0.0000 0.5386 0.9792
0.0000 0.9792 0.5386
```


Entry from the Alexandria database: a geometry-optimized TaInAu2 structure (GGA-PBE).

Values from the calculation:
As for the total energy: -20.728 eV/cell. The formation energy is 104 meV per atom. The spin magnetization is 0.0 Bohr magnetons per cell.

Structure (POSCAR):
```
TaInAu2
1.0
3.0353 -4.2013 0.0000
3.0353 4.2013 0.0000
0.0000 0.0000 2.9801
Ta In Au
1 1 2
direct
0.0000 0.0000 0.0000
0.5000 0.5000 0.0000
0.0000 0.5000 0.5000
0.5000 0.0000 0.5000
```


Entry from the Alexandria database: a geometry-optimized LaCd2HRu structure (GGA-PBE).

Values from the calculation:
As for the total energy: -17.890 eV/cell. The spin magnetization is 0.0 Bohr magnetons per cell.

Structure (POSCAR):
```
LaCd2HRu
1.0
5.2407 0.0000 0.0000
0.0000 5.2407 0.0000
0.0000 0.0000 5.1182
La Cd H Ru
1 2 1 1
direct
0.0000 0.0000 0.0000
0.0000 0.5000 0.5000
0.5000 0.0000 0.5000
0.5000 0.5000 0.0000
0.0000 0.0000 0.5000
```


Entry from the Alexandria database: a geometry-optimized NdThMg2 structure (GGA-PBE).

Values from the calculation:
As for the total energy: -15.356 eV/cell. The formation energy is 5 meV per atom. The spin magnetization is 0.0 Bohr magnetons per cell. As for the energy above the most stable polymorph in this dataset: 14 meV per atom.

Structure (POSCAR):
```
NdThMg2
1.0
0.0000 3.8590 3.8590
3.8590 0.0000 3.8590
3.8590 3.8590 0.0000
Nd Th Mg
1 1 2
direct
0.0000 0.0000 0.0000
0.5000 0.5000 0.5000
0.2500 0.2500 0.2500
0.7500 0.7500 0.7500
```


Entry from the Alexandria database: a geometry-optimized LaF structure (GGA-PBE).

Values from the calculation:
As for the total energy: -48.104 eV/cell. The spin magnetization is 0.0 Bohr magnetons per cell. The calculation puts the uncorrected formation energy at -5.23 eV/f.u. As for the energy above the most stable polymorph in this dataset: 0 meV per atom.

Structure (POSCAR):
```
LaF
1.0
0.0000 4.2014 5.7643
4.0010 0.0000 5.7643
4.0010 4.2014 0.0000
La F
4 4
direct
0.1199 0.6301 0.1199
0.3699 0.8801 0.3699
0.6301 0.1199 0.6301
0.8801 0.3699 0.8801
0.2547 0.2547 0.4953
0.4953 0.4953 0.2547
0.5047 0.5047 0.7453
0.7453 0.7453 0.5047
```


Entry from the Alexandria database: a geometry-optimized Ce2Pu2Pa7 structure (GGA-PBE).

Values from the calculation:
As for the total energy: -103.875 eV/cell. The formation energy is 284 meV per atom. The spin magnetization is 0.0 Bohr magnetons per cell.

Structure (POSCAR):
```
Ce2Pu2Pa7
1.0
3.9095 -5.8330 0.0000
3.9095 5.8330 0.0000
-0.2099 0.0000 5.9629
Ce Pu Pa
2 2 7
direct
0.1223 0.8777 0.0000
0.8777 0.1223 0.0000
0.3126 0.3126 0.3549
0.6874 0.6874 0.6451
0.0000 0.0000 0.5000
0.0980 0.5142 0.2751
0.3717 0.3717 0.7763
0.4858 0.9020 0.7249
0.5142 0.0980 0.2751
0.6283 0.6283 0.2237
0.9020 0.4858 0.7249
```